[1]
Entry from the Alexandria database: a geometry-optimized BiRhSe2 structure (PBE).

The structure belongs to space group Pnma (No. 62); the cell edges are 8.5153, 3.6445 and 13.1669 Å and the angles 90.00°, 90.00° and 90.00°. The asymmetric unit holds Bi at (0.0142, 0.2500, 0.1079), Rh at (0.0274, 0.7500, 0.3816), Se at (0.1415, 0.7500, 0.5552) and Se at (0.1883, 0.2500, 0.3081).

Its uncorrected formation energy is -0.190 eV per atom. As for the crystal system: orthorhombic. For the density, the calculation gives 7.637 g/cm3. For the calculated total energy, the calculation gives -4.7402 eV per atom.

=====

[2]
Entry from the Alexandria database: a geometry-optimized BeV3Re structure (PBE).

The structure belongs to space group Pm-3m (No. 221); the cell edges are 4.5463, 4.5463 and 4.5463 Å and the angles 90.00°, 90.00° and 90.00°. The asymmetric unit holds Be at (0.0000, 0.0000, 0.0000), V at (0.0000, 0.5000, 0.5000) and Re at (0.5000, 0.5000, 0.5000).

As for the crystal system: cubic. The formation energy is 1.460 eV/atom. For the density, the calculation gives 6.150 g/cm3. For the calculated total energy, the calculation gives -7.2464 eV per atom. The energy above the most stable polymorph in this dataset comes out at 0.787 eV per atom.

=====

[3]
Entry from the Alexandria database: a geometry-optimized MnVNiPt structure (PBE).

The structure belongs to space group F-43m (No. 216); the cell edges are 5.9608, 5.9608 and 5.9608 Å and the angles 90.00°, 90.00° and 90.00°. The asymmetric unit holds Mn at (0.0000, 0.0000, 0.0000), V at (0.2500, 0.2500, 0.2500), Ni at (0.0000, 0.0000, 0.5000) and Pt at (0.2500, 0.2500, 0.7500).

As for the crystal system: cubic. The formation energy is -0.211 eV/atom. For the density, the calculation gives 11.279 g/cm3. For the calculated total energy, the calculation gives -7.7390 eV per atom. The energy above the most stable polymorph in this dataset comes out at 0.178 eV per atom.